Record 1
DFT (PBE) results for crystalline Ba2AlInH at its relaxed geometry. Values from VASP.

```
&SYSTEM
  ibrav = 0, nat = 5, ntyp = 4
/
ATOMIC_SPECIES
H 1.01 H.upf
Al 26.98 Al.upf
Ba 137.33 Ba.upf
In 114.82 In.upf
CELL_PARAMETERS angstrom
5.812 0.000 0.000
0.000 5.812 0.000
0.000 0.000 4.329
ATOMIC_POSITIONS crystal
H 0.000 0.000 0.000
Al 0.000 0.000 0.500
Ba 0.000 0.500 0.000
Ba 0.500 0.000 0.000
In 0.500 0.500 0.500
```

symmetry	P4/mmm, No. 123
density of states at the Fermi level	3.54	states/eV per cell
polymorph energy (0 for the lowest one)	0	meV per atom
calculated total energy	-2.95	eV/atom
M_tot	0.00	μB per atom

***

Record 2
DFT (PBE) results for crystalline Ba2AlInH at its relaxed geometry. Values from VASP.

```
&SYSTEM
  ibrav = 0, nat = 5, ntyp = 4
/
ATOMIC_SPECIES
H 1.01 H.upf
Al 26.98 Al.upf
Ba 137.33 Ba.upf
In 114.82 In.upf
CELL_PARAMETERS angstrom
6.550 0.000 0.000
0.000 5.003 0.000
0.000 0.000 6.550
ATOMIC_POSITIONS crystal
H 0.500 0.500 0.500
Al 0.000 0.000 0.000
Ba 0.000 0.000 0.500
Ba 0.500 0.000 0.000
In 0.000 0.500 0.000
```

symmetry	P4/mmm, No. 123
density of states at the Fermi level	3.71	states/eV per cell
polymorph energy (0 for the lowest one)	452	meV per atom
calculated total energy	-2.49	eV/atom
M_tot	0.00	μB per atom

***

Record 3
DFT (PBE) results for crystalline KBaAl2H8 at its relaxed geometry. Values from VASP.

```
&SYSTEM
  ibrav = 0, nat = 12, ntyp = 4
/
ATOMIC_SPECIES
K 39.10 K.upf
Ba 137.33 Ba.upf
Al 26.98 Al.upf
H 1.01 H.upf
CELL_PARAMETERS angstrom
5.083 0.000 0.000
-2.541 4.402 0.000
0.000 0.000 9.259
ATOMIC_POSITIONS crystal
K 0.000 0.000 0.000
Ba 0.000 0.000 0.500
Al 0.333 0.667 0.723
Al 0.667 0.333 0.277
H 0.153 0.306 0.756
H 0.153 0.847 0.756
H 0.694 0.847 0.756
H 0.306 0.153 0.244
H 0.667 0.333 0.463
H 0.333 0.667 0.537
H 0.847 0.694 0.244
H 0.847 0.153 0.244
```

symmetry	P-3m1, No. 164
density of states at the Fermi level	3.31	states/eV per cell
calculated total energy	-3.29	eV/atom
M_tot	0.00	μB per atom

***

Record 4
DFT (PBE) results for crystalline KBaAlH6 at its relaxed geometry. Values from VASP.

```
&SYSTEM
  ibrav = 0, nat = 9, ntyp = 4
/
ATOMIC_SPECIES
K 39.10 K.upf
Ba 137.33 Ba.upf
Al 26.98 Al.upf
H 1.01 H.upf
CELL_PARAMETERS angstrom
-4.901 1.805 2.475
-4.283 -3.749 1.003
1.912 -0.980 4.500
ATOMIC_POSITIONS crystal
K 0.667 0.667 0.500
Ba 0.000 0.000 0.000
Al 0.333 0.333 0.500
H 0.089 0.325 0.292
H 0.325 0.089 0.708
H 0.586 0.325 0.708
H 0.089 0.586 0.708
H 0.325 0.586 0.292
H 0.586 0.089 0.292
```

symmetry	P312, No. 149
density of states at the Fermi level	0.00	states/eV per cell
calculated total energy	-3.21	eV/atom
M_tot	0.00	μB per atom